Run w
Compound: Ta2PdCl
Source: Alexandria
Functional: PBE-GGA
Structure: relaxed

Values from the calculation:
Fermi-level density of states in states/eV/cell: 5.0
Magnetic moment in Bohr magnetons per cell: 0.00
Space group: Fm-3m (225)

a b c (Å): 4.5477 4.5477 4.5477
angles (deg): 60.00 60.00 60.00
With the nearest neighbours (Å) after each atom.
Atoms (fractional coordinates):
1 Pd 0.5000 0.5000 0.5000  8 Ta 2.78
2 Cl 0.0000 0.0000 0.0000  8 Ta 2.78
3 Ta 0.7500 0.7500 0.7500  4 Pd 2.78, 4 Cl 2.78
4 Ta 0.2500 0.2500 0.2500  4 Cl 2.78, 4 Pd 2.78

***

Run x
Compound: Ta2PdCl
Source: Alexandria
Functional: PBE-GGA
Structure: relaxed

Values from the calculation:
Fermi-level density of states in states/eV/cell: 4.0
Magnetic moment in Bohr magnetons per cell: 0.00
Space group: I-42d (122)

a b c (Å): 5.6415 5.6415 6.8776
angles (deg): 65.79 65.79 90.00
With the nearest neighbours (Å) after each atom.
Atoms (fractional coordinates):
1 Cl 0.5000 0.5000 0.0000  4 Ta 2.40
2 Cl 0.2500 0.7500 0.5000  4 Ta 2.40
3 Ta 0.3750 0.3855 0.7500  2 Cl 2.40, 2 Pd 2.47
4 Ta 0.1355 0.6250 0.2500  2 Cl 2.40, 2 Pd 2.47
5 Ta 0.8750 0.8645 0.7500  2 Cl 2.40, 2 Pd 2.47
6 Ta 0.6145 0.1250 0.2500  2 Cl 2.40, 2 Pd 2.47
7 Pd 0.7500 0.2500 0.5000  4 Ta 2.47
8 Pd 0.0000 0.0000 0.0000  4 Ta 2.47

***

Which of them is most stable? Easy: run w.

***

Run w
Compound: TcPd3Cl
Source: Alexandria
Functional: PBE-GGA
Structure: relaxed

Values from the calculation:
Fermi-level density of states in states/eV/cell: 5.0
Magnetic moment in Bohr magnetons per cell: 0.00
Space group: Pm-3m (221)

a b c (Å): 4.8173 4.8173 4.8173
angles (deg): 90.00 90.00 90.00
With the nearest neighbours (Å) after each atom.
Atoms (fractional coordinates):
1 Pd 0.0000 0.0000 0.5000  2 Tc 2.41
2 Pd 0.0000 0.5000 0.0000  2 Tc 2.41
3 Pd 0.5000 0.0000 0.0000  2 Tc 2.41
4 Tc 0.0000 0.0000 0.0000  6 Pd 2.41
5 Cl 0.5000 0.5000 0.5000  12 Pd 3.41

***

Run x
Compound: TcPd3Cl
Source: Alexandria
Functional: PBE-GGA
Structure: relaxed

Values from the calculation:
Fermi-level density of states in states/eV/cell: 2.3
Magnetic moment in Bohr magnetons per cell: 4.01
Space group: Pm-3m (221)

a b c (Å): 4.5302 4.5302 4.5302
angles (deg): 90.00 90.00 90.00
With the nearest neighbours (Å) after each atom.
Atoms (fractional coordinates):
1 Pd 0.5000 0.0000 0.0000  2 Cl 2.27
2 Pd 0.0000 0.5000 0.0000  2 Cl 2.27
3 Pd 0.0000 0.0000 0.5000  2 Cl 2.27
4 Cl 0.0000 0.0000 0.0000  6 Pd 2.27
5 Tc 0.5000 0.5000 0.5000  12 Pd 3.20

***

Which of them is most stable? Easy: run x.

***

Run w
Compound: Te2Pd2Cl
Source: Alexandria
Functional: PBE-GGA
Structure: relaxed

Values from the calculation:
Fermi-level density of states in states/eV/cell: 5.0
Magnetic moment in Bohr magnetons per cell: 0.00
Space group: I4/mmm (139)

a b c (Å): 4.0355 4.0355 7.7691
angles (deg): 74.95 74.95 90.00
With the nearest neighbours (Å) after each atom.
Atoms (fractional coordinates):
1 Te 0.6276 0.6276 0.7448  4 Pd 2.68
2 Te 0.3724 0.3724 0.2552  4 Pd 2.68
3 Cl 0.0000 0.0000 0.0000  8 Te 3.40
4 Pd 0.7500 0.2500 0.5000  4 Te 2.68, 4 Pd 2.85
5 Pd 0.2500 0.7500 0.5000  4 Te 2.68, 4 Pd 2.85

***

Run x
Compound: Te2Pd2Cl
Source: Alexandria
Functional: PBE-GGA
Structure: relaxed

Values from the calculation:
Fermi-level density of states in states/eV/cell: 3.8
Magnetic moment in Bohr magnetons per cell: 0.00
Space group: P-1 (2)

a b c (Å): 6.2001 6.8469 6.3505
angles (deg): 85.93 84.21 63.91
With the nearest neighbours (Å) after each atom.
Atoms (fractional coordinates):
1 Te 0.4816 0.4411 0.2564  4 Pd 2.63-2.73
2 Te 0.1418 0.0353 0.1515  4 Pd 2.70-2.85, 1 Te 2.93
3 Te 0.5184 0.5589 0.7436  4 Pd 2.63-2.73
4 Te 0.8581 0.9647 0.8485  4 Pd 2.70-2.85, 1 Te 2.93
5 Cl 0.2333 0.2259 0.6163  2 Pd 2.46-2.52
6 Cl 0.7667 0.7741 0.3837  2 Pd 2.46-2.52
7 Pd 0.8526 0.2419 0.4904  1 Cl 2.52, 3 Te 2.65-2.73
8 Pd 0.3770 0.2672 0.9494  1 Cl 2.46, 2 Te 2.63-2.72
9 Pd 0.6230 0.7328 0.0506  1 Cl 2.46, 2 Te 2.63-2.72
10 Pd 0.1473 0.7581 0.5096  1 Cl 2.52, 3 Te 2.65-2.73

***

Which of them is most stable? Easy: run x.

***

Run w
Compound: Ti2PdCl
Source: Alexandria
Functional: PBE-GGA
Structure: relaxed

Values from the calculation:
Fermi-level density of states in states/eV/cell: 8.4
Magnetic moment in Bohr magnetons per cell: 0.00
Space group: I-42d (122)

a b c (Å): 6.6583 6.6583 5.6329
angles (deg): 53.77 53.77 90.00
With the nearest neighbours (Å) after each atom.
Atoms (fractional coordinates):
1 Ti 0.5990 0.1250 0.2500  2 Cl 2.37, 2 Pd 2.60
2 Ti 0.1510 0.6250 0.2500  2 Cl 2.37, 2 Pd 2.60
3 Ti 0.8750 0.8490 0.7500  2 Cl 2.37, 2 Pd 2.60
4 Ti 0.3750 0.4010 0.7500  2 Cl 2.37, 2 Pd 2.60
5 Pd 0.0000 0.0000 0.0000  4 Ti 2.60
6 Pd 0.7500 0.2500 0.5000  4 Ti 2.60
7 Cl 0.5000 0.5000 0.0000  4 Ti 2.37
8 Cl 0.2500 0.7500 0.5000  4 Ti 2.37

***

Run x
Compound: Ti2PdCl
Source: Alexandria
Functional: PBE-GGA
Structure: relaxed

Values from the calculation:
Fermi-level density of states in states/eV/cell: 3.9
Magnetic moment in Bohr magnetons per cell: 0.00
Space group: Fm-3m (225)

a b c (Å): 4.4964 4.4964 4.4964
angles (deg): 60.00 60.00 60.00
With the nearest neighbours (Å) after each atom.
Atoms (fractional coordinates):
1 Pd 0.5000 0.5000 0.5000  8 Ti 2.75
2 Ti 0.7500 0.7500 0.7500  4 Cl 2.75, 4 Pd 2.75
3 Ti 0.2500 0.2500 0.2500  4 Cl 2.75, 4 Pd 2.75
4 Cl 0.0000 0.0000 0.0000  8 Ti 2.75

***

Which of them is most stable? Easy: run w.

***

Run w
Compound: TlPd3Cl
Source: Alexandria
Functional: PBE-GGA
Structure: relaxed

Values from the calculation:
Fermi-level density of states in states/eV/cell: 0.0
Magnetic moment in Bohr magnetons per cell: 0.00
Space group: Pm-3m (221)

a b c (Å): 5.1300 5.1300 5.1300
angles (deg): 90.00 90.00 90.00
With the nearest neighbours (Å) after each atom.
Atoms (fractional coordinates):
1 Pd 0.5000 0.0000 0.0000  2 Tl 2.56
2 Pd 0.0000 0.0000 0.5000  2 Tl 2.56
3 Pd 0.0000 0.5000 0.0000  2 Tl 2.56
4 Tl 0.0000 0.0000 0.0000  6 Pd 2.56
5 Cl 0.5000 0.5000 0.5000  12 Pd 3.63

***

Run x
Compound: TlPd3Cl
Source: Alexandria
Functional: PBE-GGA
Structure: relaxed

Values from the calculation:
Fermi-level density of states in states/eV/cell: 0.4
Magnetic moment in Bohr magnetons per cell: 0.00
Space group: Pm-3m (221)

a b c (Å): 4.6830 4.6830 4.6830
angles (deg): 90.00 90.00 90.00
With the nearest neighbours (Å) after each atom.
Atoms (fractional coordinates):
1 Pd 0.0000 0.5000 0.0000  2 Cl 2.34
2 Pd 0.0000 0.0000 0.5000  2 Cl 2.34
3 Pd 0.5000 0.0000 0.0000  2 Cl 2.34
4 Tl 0.5000 0.5000 0.5000  12 Pd 3.31
5 Cl 0.0000 0.0000 0.0000  6 Pd 2.34

***

Which of them is most stable? Easy: run x.

***

Run w
Compound: Tl5PdCl8
Source: Alexandria
Functional: PBE-GGA
Structure: relaxed

Values from the calculation:
Fermi-level density of states in states/eV/cell: 1.6
Magnetic moment in Bohr magnetons per cell: 3.01
Space group: F-43m (216)

a b c (Å): 9.0060 9.0060 9.0060
angles (deg): 60.00 60.00 60.00
With the nearest neighbours (Å) after each atom.
Atoms (fractional coordinates):
1 Tl 0.6251 0.6251 0.1247  3 Cl 3.01
2 Tl 0.0000 0.0000 0.0000  4 Cl 3.08
3 Tl 0.6251 0.1247 0.6251  3 Cl 3.01
4 Tl 0.1247 0.6251 0.6251  3 Cl 3.01
5 Tl 0.6251 0.6251 0.6251  3 Cl 3.01
6 Cl 0.8604 0.8604 0.4188  4 Tl 3.01-3.08
7 Cl 0.8604 0.8604 0.8604  4 Tl 3.01-3.08
8 Cl 0.8604 0.4188 0.8604  4 Tl 3.01-3.08
9 Cl 0.4188 0.8604 0.8604  4 Tl 3.01-3.08
10 Cl 0.3567 0.3567 0.9299  1 Pd 2.35
11 Cl 0.3567 0.3567 0.3567  1 Pd 2.35
12 Cl 0.3567 0.9299 0.3567  1 Pd 2.35
13 Cl 0.9299 0.3567 0.3567  1 Pd 2.35
14 Pd 0.2500 0.2500 0.2500  4 Cl 2.35

***

Run x
Compound: Tl5PdCl8
Source: Alexandria
Functional: PBE-GGA
Structure: relaxed

Values from the calculation:
Fermi-level density of states in states/eV/cell: 5.9
Magnetic moment in Bohr magnetons per cell: 0.00
Space group: I-4 (82)

a b c (Å): 8.1851 8.1851 8.1851
angles (deg): 100.75 114.00 114.00
With the nearest neighbours (Å) after each atom.
Atoms (fractional coordinates):
1 Cl 0.1862 0.6969 0.0013  1 Pd 2.33
2 Cl 0.7790 0.4699 0.1092  3 Tl 2.86-3.12
3 Cl 0.3608 0.8908 0.6698  3 Tl 2.86-3.12
4 Cl 0.3043 0.4893 0.3031  1 Pd 2.33
5 Cl 0.6392 0.3091 0.5301  3 Tl 2.86-3.12
6 Cl 0.2210 0.3302 0.6909  3 Tl 2.86-3.12
7 Cl 0.6957 0.9987 0.1850  1 Pd 2.33
8 Cl 0.8138 0.8150 0.5107  1 Pd 2.33
9 Tl 0.1265 0.9874 0.3524  5 Cl 3.00-3.36
10 Tl 0.3650 0.1392 0.0126  5 Cl 3.00-3.36
11 Tl 0.0000 0.5000 0.5000  4 Cl 2.86
12 Tl 0.6350 0.6476 0.7742  5 Cl 3.00-3.36
13 Tl 0.8735 0.2258 0.8608  5 Cl 3.00-3.36
14 Pd 0.5000 0.7500 0.2500  4 Cl 2.33

***

Which of them is most stable? Easy: run x.

***

Run w
Compound: TlPdCl2
Source: Alexandria
Functional: PBE-GGA
Structure: relaxed

Values from the calculation:
Fermi-level density of states in states/eV/cell: 2.8
Magnetic moment in Bohr magnetons per cell: 1.38
Space group: R-3m (166)

a b c (Å): 9.2998 9.2998 9.2998
angles (deg): 23.08 23.08 23.08
With the nearest neighbours (Å) after each atom.
Atoms (fractional coordinates):
1 Cl 0.1138 0.1138 0.1138  3 Pd 2.58
2 Cl 0.8862 0.8862 0.8862  3 Pd 2.58
3 Tl 0.0000 0.0000 0.0000  2 Cl 3.09
4 Pd 0.5000 0.5000 0.5000  6 Cl 2.58

***

Run x
Compound: TlPdCl2
Source: Alexandria
Functional: PBE-GGA
Structure: relaxed

Values from the calculation:
Fermi-level density of states in states/eV/cell: 3.1
Magnetic moment in Bohr magnetons per cell: 1.00
Space group: R-3m (166)

a b c (Å): 8.4469 8.4469 8.4469
angles (deg): 31.76 31.76 31.76
With the nearest neighbours (Å) after each atom.
Atoms (fractional coordinates):
1 Cl 0.9043 0.9043 0.9043  1 Pd 2.30
2 Cl 0.0957 0.0957 0.0957  1 Pd 2.30
3 Tl 0.5000 0.5000 0.5000  6 Cl 3.17
4 Pd 0.0000 0.0000 0.0000  2 Cl 2.30

***

Run y
Compound: TlPdCl2
Source: Alexandria
Functional: PBE-GGA
Structure: relaxed

Values from the calculation:
Fermi-level density of states in states/eV/cell: 0.5
Magnetic moment in Bohr magnetons per cell: 2.00
Space group: I-42d (122)

a b c (Å): 6.0447 6.0447 8.2109
angles (deg): 68.40 68.40 90.00
With the nearest neighbours (Å) after each atom.
Atoms (fractional coordinates):
1 Pd 0.5000 0.5000 0.0000  4 Cl 2.50
2 Pd 0.2500 0.7500 0.5000  4 Cl 2.50
3 Cl 0.3750 0.4702 0.7500  2 Pd 2.50
4 Cl 0.5298 0.1250 0.2500  2 Pd 2.50
5 Cl 0.8750 0.7798 0.7500  2 Pd 2.50
6 Cl 0.2202 0.6250 0.2500  2 Pd 2.50
7 Tl 0.0000 0.0000 0.0000  4 Cl 3.12
8 Tl 0.7500 0.2500 0.5000  4 Cl 3.12

***

Run z
Compound: TlPdCl2
Source: Alexandria
Functional: PBE-GGA
Structure: relaxed

Values from the calculation:
Fermi-level density of states in states/eV/cell: 6.3
Magnetic moment in Bohr magnetons per cell: 1.00
Space group: Fm-3m (225)

a b c (Å): 5.0849 5.0849 5.0849
angles (deg): 60.00 60.00 60.00
With the nearest neighbours (Å) after each atom.
Atoms (fractional coordinates):
1 Tl 0.5000 0.5000 0.5000  8 Cl 3.11
2 Pd 0.0000 0.0000 0.0000  8 Cl 3.11
3 Cl 0.7500 0.7500 0.7500  4 Tl 3.11, 4 Pd 3.11
4 Cl 0.2500 0.2500 0.2500  4 Tl 3.11, 4 Pd 3.11

***

Which of them is most stable? Easy: run y.

***

Run w
Compound: Tl3PdCl
Source: Alexandria
Functional: PBE-GGA
Structure: relaxed

Values from the calculation:
Fermi-level density of states in states/eV/cell: 1.3
Magnetic moment in Bohr magnetons per cell: 0.00
Space group: Pm-3m (221)

a b c (Å): 5.7581 5.7581 5.7581
angles (deg): 90.00 90.00 90.00
With the nearest neighbours (Å) after each atom.
Atoms (fractional coordinates):
1 Tl 0.5000 0.0000 0.0000  2 Cl 2.88
2 Tl 0.0000 0.0000 0.5000  2 Cl 2.88
3 Tl 0.0000 0.5000 0.0000  2 Cl 2.88
4 Cl 0.0000 0.0000 0.0000  6 Tl 2.88
5 Pd 0.5000 0.5000 0.5000  12 Tl 4.07

***

Run x
Compound: Tl3PdCl
Source: Alexandria
Functional: PBE-GGA
Structure: relaxed

Values from the calculation:
Fermi-level density of states in states/eV/cell: 0.9
Magnetic moment in Bohr magnetons per cell: 0.00
Space group: Pm-3m (221)

a b c (Å): 5.3741 5.3741 5.3741
angles (deg): 90.00 90.00 90.00
With the nearest neighbours (Å) after each atom.
Atoms (fractional coordinates):
1 Cl 0.5000 0.5000 0.5000  12 Tl 3.80
2 Tl 0.0000 0.5000 0.0000  2 Pd 2.69
3 Tl 0.0000 0.0000 0.5000  2 Pd 2.69
4 Tl 0.5000 0.0000 0.0000  2 Pd 2.69
5 Pd 0.0000 0.0000 0.0000  6 Tl 2.69

***

Which of them is most stable? Easy: run x.